Entry 1
A plane-wave DFT calculation with PBE was carried out for a relaxed Y4TlNi crystal.

Structure (extended XYZ):
```
6
Lattice="5.3085 -3.2010 -0.2967 0.0912 -6.0086 1.5502 0.7752 -4.3242 -4.3835" Properties=species:S:1:pos:R:3 pbc="T T T"
Y 2.3159 -5.0758 -1.1739
Y 2.3615 -8.0790 -0.3991
Y 4.9692 -6.6757 -1.3222
Y 2.7034 -7.2370 -3.3649
Tl 0.0000 0.0000 0.0000
Ni 4.6312 -10.1503 -2.3475
```

## Properties
Calculated volume in Å³ per cell: 169.0

Entry 2
A plane-wave DFT calculation with PBE was carried out for a relaxed Y4TlNi crystal.

Structure (extended XYZ):
```
12
Lattice="-2.3119 -5.7457 -0.6298 6.7930 1.9315 -5.9066 1.9733 -0.2425 7.4114" Properties=species:S:1:pos:R:3 pbc="T T T"
Y 3.7024 -3.6578 -3.9990
Y 2.7520 -0.3990 4.8741
Y 5.3621 -0.2778 2.2824
Y 1.9651 -0.8692 0.6750
Y 1.0923 -3.7790 -1.4073
Y 4.4893 -3.1875 0.2001
Y 6.8164 -0.6456 -0.8478
Y -0.3620 -3.4111 1.7229
Ni 8.1782 0.2578 1.3374
Ni -1.7238 -4.3145 -0.4624
Tl 2.5953 -3.0552 2.9626
Tl 3.8591 -1.0015 -2.0875
```

## Properties
Calculated volume in Å³ per cell: 329.9

Entry 3
A plane-wave DFT calculation with PBE was carried out for a relaxed Y4TlNi crystal.

Structure (extended XYZ):
```
12
Lattice="-2.4087 3.8987 -3.4417 1.6411 -3.8811 -5.5450 -5.6991 -6.2448 2.6842" Properties=species:S:1:pos:R:3 pbc="T T T"
Tl -0.5879 -0.3261 -2.1325
Tl -5.8788 -5.9012 -4.1699
Y -3.8872 1.9635 -2.5673
Y -0.4216 -2.3004 -5.0750
Y -6.0451 -3.9269 -1.2274
Y -3.0826 0.0607 -5.2858
Y -3.3841 -6.2879 -1.0165
Y -3.4404 -1.4675 -2.1779
Y -2.5795 -8.1907 -3.7351
Y -3.0263 -4.7598 -4.1245
Ni -3.2481 -3.5908 -0.6348
Ni -3.2185 -2.6365 -5.6675
```

## Properties
Calculated volume in Å³ per cell: 325.9

Most stable = entry 3